Tb3Ce2Sm6Dy (GGA-PBE, relaxed); total magnetic moment = 0.175 μB/atom; formation energy = 0.0520 eV per atom
1.0
-5.420 2.070 2.219
0.798 -6.063 -1.092
5.472 -0.116 10.562
Tb Ce Sm Dy
3 2 6 1
Direct
0.166 0.834 0.500 Tb
0.834 0.166 0.500 Tb
0.500 0.500 0.500 Tb
0.333 0.667 0.000 Ce
0.667 0.333 0.000 Ce
0.917 0.581 0.751 Sm
0.748 0.748 0.249 Sm
0.083 0.419 0.249 Sm
0.581 0.917 0.751 Sm
0.252 0.252 0.751 Sm
0.419 0.083 0.249 Sm
0.000 0.000 0.000 Dy


LaTbCuAu (GGA-PBE, relaxed); total magnetic moment = 0.000 μB/atom; formation energy = -0.4705 eV per atom; polymorph energy (0 for the lowest one) = 0.91 kcal/mol of atoms
1.0
-0.656 -4.924 -1.424
1.736 -3.816 3.021
-3.345 -3.003 2.548
Tb Au Cu La
1 1 1 1
Direct
0.500 0.500 0.500 Tb
0.750 0.750 0.750 Au
0.250 0.250 0.250 Cu
0.000 0.000 0.000 La


Dy5ZnCo2 (GGA-PBE, relaxed); total magnetic moment = 0.000 μB/atom; formation energy = -0.2153 eV per atom
1.0
-0.590 -6.292 -4.187
3.714 -3.899 5.336
-7.165 3.703 2.308
Dy Zn Co
10 2 4
Direct
0.526 0.702 0.728 Dy
0.798 0.974 0.272 Dy
0.000 0.000 0.000 Dy
0.500 0.500 0.000 Dy
0.202 0.026 0.728 Dy
0.702 0.202 0.728 Dy
0.026 0.526 0.728 Dy
0.298 0.798 0.272 Dy
0.974 0.474 0.272 Dy
0.474 0.298 0.272 Dy
0.750 0.750 0.500 Zn
0.250 0.250 0.500 Zn
0.134 0.366 0.000 Co
0.634 0.134 0.000 Co
0.366 0.866 0.000 Co
0.866 0.634 0.000 Co


Sr2NiW (GGA-PBE, relaxed); total magnetic moment = 0.000 μB/atom; formation energy = 0.9725 eV per atom; polymorph energy (0 for the lowest one) = 8.60 kcal/mol of atoms
1.0
3.145 0.010 0.000
-0.021 3.145 0.000
0.000 0.000 9.369
Ni Sr W
1 2 1
Direct
0.500 0.500 0.750 Ni
0.000 0.000 0.975 Sr
0.000 0.000 0.525 Sr
0.500 0.500 0.250 W


NbBi2Os2 (GGA-PBE, relaxed); total magnetic moment = 0.000 μB/atom; formation energy = 1.0017 eV per atom; polymorph energy (0 for the lowest one) = 0.00 kcal/mol of atoms
1.0
-1.459 0.648 3.158
0.066 -3.459 0.740
7.344 -0.499 5.478
Nb Os Bi
1 2 2
Direct
0.000 0.000 0.000 Nb
0.750 0.250 0.500 Os
0.250 0.750 0.500 Os
0.400 0.400 0.201 Bi
0.600 0.600 0.799 Bi


Ba2ZnSb (GGA-PBE, relaxed); total magnetic moment = 0.000 μB/atom; polymorph energy (0 for the lowest one) = 10.26 kcal/mol of atoms
1.0
5.864 0.000 0.000
2.932 5.079 0.000
2.932 1.693 4.788
Ba Sb Zn
2 1 1
Direct
0.000 0.000 0.000 Ba
0.250 0.250 0.250 Ba
0.500 0.500 0.500 Sb
0.750 0.750 0.750 Zn


MgIn2 (GGA-PBE, relaxed); total magnetic moment = 0.000 μB/atom; formation energy = -0.0276 eV per atom
1.0
-3.595 0.094 4.254
0.861 -4.729 -2.815
4.161 -1.353 3.547
Mg In
2 4
Direct
0.667 0.333 0.000 Mg
0.333 0.667 0.000 Mg
0.664 0.000 0.500 In
0.000 0.000 0.000 In
0.336 0.336 0.500 In
0.000 0.664 0.500 In


Ba2NdPaP4 (GGA-PBE, relaxed); total magnetic moment = 0.000 μB/atom; formation energy = -1.2267 eV per atom
1.0
-0.480 3.730 2.070
-3.906 -3.415 5.247
7.468 -0.144 1.991
Ba Nd Pa P
2 1 1 4
Direct
0.500 0.000 0.500 Ba
0.000 0.500 0.500 Ba
0.000 0.000 0.000 Nd
0.500 0.500 0.000 Pa
0.500 0.254 0.207 P
0.500 0.746 0.793 P
0.000 0.280 0.799 P
0.000 0.720 0.201 P